No. 1
Entry from Alexandria: Tc2PdPbO8 after structural relaxation (PBE).

Output
- ΔE_f (raw) (eV per atom) = -1.02

Lattice parameters (Å, degrees): 8.4104 8.4104 8.4104 35.97 35.97 35.97
Fractional coordinates of all 12 atoms:
Tc 0.2478 0.2478 0.2478
Tc 0.7522 0.7522 0.7522
Pd 0.0000 0.0000 0.0000
Pb 0.5000 0.5000 0.5000
O 0.0552 0.4071 0.7259
O 0.1721 0.1721 0.1721
O 0.2741 0.5929 0.9448
O 0.4071 0.7259 0.0552
O 0.5929 0.9448 0.2741
O 0.7259 0.0552 0.4071
O 0.8279 0.8279 0.8279
O 0.9448 0.2741 0.5929

No. 2
Entry from Alexandria: Cd6Ga7 after structural relaxation (PBE).

Output
- calculated total energy (Ry/atom) = -0.1452

Lattice parameters (Å, degrees): 11.7101 11.7101 11.7101 26.38 26.38 26.38
Fractional coordinates of all 13 atoms:
Cd 0.0431 0.0431 0.0431
Cd 0.1569 0.1569 0.1569
Cd 0.3347 0.3347 0.3347
Cd 0.6653 0.6653 0.6653
Cd 0.8431 0.8431 0.8431
Cd 0.9569 0.9569 0.9569
Ga 0.0891 0.5889 0.5889
Ga 0.4111 0.4111 0.9109
Ga 0.4111 0.9109 0.4111
Ga 0.5000 0.5000 0.5000
Ga 0.5889 0.0891 0.5889
Ga 0.5889 0.5889 0.0891
Ga 0.9109 0.4111 0.4111

No. 3
Entry from Alexandria: LaSc2O after structural relaxation (PBE).

Output
- ΔE_f (raw) (eV per atom) = -1.31

Lattice parameters (Å, degrees): 9.1522 9.1522 9.1522 20.47 20.47 20.47
Fractional coordinates of all 4 atoms:
La 0.0000 0.0000 0.0000
Sc 0.1213 0.1213 0.1213
Sc 0.8787 0.8787 0.8787
O 0.5000 0.5000 0.5000

Q: Number 1 is which compound?
A: Tc2PdPbO8

What did the second record say?
Entry from Alexandria: Cd6Ga7 after structural relaxation (PBE).

Output
- calculated total energy (Ry/atom) = -0.1452

Lattice parameters (Å, degrees): 11.7101 11.7101 11.7101 26.38 26.38 26.38
Fractional coordinates of all 13 atoms:
Cd 0.0431 0.0431 0.0431
Cd 0.1569 0.1569 0.1569
Cd 0.3347 0.3347 0.3347
Cd 0.6653 0.6653 0.6653
Cd 0.8431 0.8431 0.8431
Cd 0.9569 0.9569 0.9569
Ga 0.0891 0.5889 0.5889
Ga 0.4111 0.4111 0.9109
Ga 0.4111 0.9109 0.4111
Ga 0.5000 0.5000 0.5000
Ga 0.5889 0.0891 0.5889
Ga 0.5889 0.5889 0.0891
Ga 0.9109 0.4111 0.4111